No. 1
## Pm2CrO8 (PBE with a Hubbard U)

Data for a geometry-optimized Pm2CrO8 structure.

Cell lengths 5.1251, 5.7632, 6.0124 Å; angles 66.04, 86.58, 68.04 degrees
Last column: nearest neighbours and their distance in Å.
Element x y z (fractional)
Pm 0.1469 0.1363 0.1863  6 O 2.29-2.55
Pm 0.8531 0.8637 0.8137  6 O 2.29-2.55
Cr 0.0000 0.5000 0.5000  4 O 1.78-1.90
O 0.1207 0.5429 0.1851  1 Cr 1.90
O 0.1391 0.7322 0.5180  1 Cr 1.78
O 0.3144 0.9443 0.8652  1 O 1.42
O 0.3566 0.1642 0.6687  1 O 1.42
O 0.6434 0.8358 0.3313  1 O 1.42
O 0.6856 0.0557 0.1348  1 O 1.42
O 0.8609 0.2678 0.4820  1 Cr 1.78
O 0.8793 0.4571 0.8149  1 Cr 1.90

- M_tot: 0.187 μB/atom
- Calculated total energy: -6.98 eV/atom

=====

No. 2
## Pm3CrO7 (PBE with a Hubbard U)

Data for a geometry-optimized Pm3CrO7 structure.

Cell lengths 6.5763, 6.5763, 7.4862 Å; angles 90.00, 90.00, 108.01 degrees
Last column: nearest neighbours and their distance in Å.
Element x y z (fractional)
Pm 0.0425 0.4972 0.2622  7 O 2.29-2.53
Pm 0.0481 0.0481 0.0000  6 O 2.36-2.40
Pm 0.4972 0.0425 0.7378  7 O 2.29-2.53
Pm 0.5028 0.9575 0.2378  7 O 2.29-2.53
Pm 0.9519 0.9519 0.5000  6 O 2.36-2.40
Pm 0.9575 0.5028 0.7622  7 O 2.29-2.53
Cr 0.4953 0.4953 0.5000  6 O 1.81-2.00
Cr 0.5047 0.5047 0.0000  6 O 1.81-2.00
O 0.1305 0.8695 0.7500  4 Pm 2.33-2.36
O 0.1375 0.8625 0.2500  4 Pm 2.29-2.40
O 0.1864 0.4266 0.9788  1 Cr 2.00
O 0.2165 0.4605 0.5431  1 Cr 1.81
O 0.4266 0.1864 0.0212  1 Cr 2.00
O 0.4409 0.5591 0.2500  2 Cr 1.97
O 0.4605 0.2165 0.4569  1 Cr 1.81
O 0.5395 0.7835 0.9569  1 Cr 1.81
O 0.5591 0.4409 0.7500  2 Cr 1.97
O 0.5734 0.8136 0.5212  1 Cr 2.00
O 0.7835 0.5395 0.0431  1 Cr 1.81
O 0.8136 0.5734 0.4788  1 Cr 2.00
O 0.8625 0.1375 0.7500  4 Pm 2.29-2.40
O 0.8695 0.1305 0.2500  4 Pm 2.33-2.36

- M_tot: 0.088 μB/atom
- Calculated total energy: -7.88 eV/atom

=====

No. 3
## Pm3CrO6 (PBE with a Hubbard U)

Data for a geometry-optimized Pm3CrO6 structure.

Cell lengths 7.3488, 7.3488, 5.6722 Å; angles 90.00, 90.00, 102.62 degrees
Last column: nearest neighbours and their distance in Å.
Element x y z (fractional)
Pm 0.1032 0.8968 0.5000  7 O 2.36-2.57
Pm 0.1977 0.4130 0.5441  6 O 2.31-2.51
Pm 0.4130 0.1977 0.0441  6 O 2.31-2.51
Pm 0.5870 0.8023 0.5441  6 O 2.31-2.51
Pm 0.8023 0.5870 0.0441  6 O 2.31-2.51
Pm 0.8968 0.1032 0.0000  7 O 2.36-2.57
Cr 0.3160 0.6840 0.0755  4 O 1.91-1.97
Cr 0.6840 0.3160 0.5755  4 O 1.91-1.97
O 0.0888 0.6036 0.2472  1 Cr 1.91
O 0.1468 0.1726 0.2737  4 Pm 2.31-2.37
O 0.1726 0.1468 0.7737  4 Pm 2.31-2.37
O 0.2817 0.7183 0.7395  1 Cr 1.95
O 0.3964 0.9112 0.2472  1 Cr 1.91
O 0.4597 0.5403 0.2656  1 Cr 1.97
O 0.5403 0.4597 0.7656  1 Cr 1.97
O 0.6036 0.0888 0.7472  1 Cr 1.91
O 0.7183 0.2817 0.2395  1 Cr 1.95
O 0.8274 0.8532 0.2737  4 Pm 2.31-2.37
O 0.8532 0.8274 0.7737  4 Pm 2.31-2.37
O 0.9112 0.3964 0.7472  1 Cr 1.91

- M_tot: 0.300 μB/atom
- Calculated total energy: -8.12 eV/atom

=====

No. 4
## Pm3CrO (PBE with a Hubbard U)

Data for a geometry-optimized Pm3CrO structure.

Cell lengths 4.9426, 4.9426, 4.9426 Å; angles 90.00, 90.00, 90.00 degrees
Last column: nearest neighbours and their distance in Å.
Element x y z (fractional)
Pm 0.0000 0.0000 0.5000  2 O 2.47
Pm 0.0000 0.5000 0.0000  2 O 2.47
Pm 0.5000 0.0000 0.0000  2 O 2.47
Cr 0.5000 0.5000 0.5000  12 Pm 3.49
O 0.0000 0.0000 0.0000  6 Pm 2.47

- M_tot: 0.759 μB/atom
- Calculated total energy: -6.32 eV/atom

=====

No. 5
## PmCrO5 (PBE with a Hubbard U)

Data for a geometry-optimized PmCrO5 structure.

Cell lengths 7.4102, 7.4102, 4.6098 Å; angles 90.00, 90.00, 90.00 degrees
Last column: nearest neighbours and their distance in Å.
Element x y z (fractional)
Pm 0.2500 0.2500 0.2408  6 O 2.29-2.36
Pm 0.7500 0.7500 0.7592  6 O 2.29-2.36
Cr 0.2500 0.7500 0.5000  4 O 1.66
Cr 0.7500 0.2500 0.5000  4 O 1.66
O 0.0667 0.7500 0.7081  1 Cr 1.66
O 0.2500 0.2500 0.7438  2 Pm 2.29-2.32
O 0.2500 0.5667 0.2919  1 Cr 1.66
O 0.2500 0.9333 0.2919  1 Cr 1.66
O 0.4333 0.7500 0.7081  1 Cr 1.66
O 0.5667 0.2500 0.2919  1 Cr 1.66
O 0.7500 0.0667 0.7081  1 Cr 1.66
O 0.7500 0.4333 0.7081  1 Cr 1.66
O 0.7500 0.7500 0.2562  2 Pm 2.29-2.32
O 0.9333 0.2500 0.2919  1 Cr 1.66

- M_tot: 0.143 μB/atom
- Calculated total energy: -7.02 eV/atom

=====

No. 6
## PmCr2PtO8 (PBE with a Hubbard U)

Data for a geometry-optimized PmCr2PtO8 structure.

Cell lengths 4.7898, 4.7900, 6.7196 Å; angles 83.94, 83.96, 80.71 degrees
Last column: nearest neighbours and their distance in Å.
Element x y z (fractional)
Pm 0.0000 0.0000 0.0000  6 O 2.33-2.41
Cr 0.4413 0.4410 0.2371  4 O 1.79-1.84
Cr 0.5587 0.5590 0.7629  4 O 1.79-1.84
Pt 0.0000 0.0000 0.5000  6 O 1.95-2.04
O 0.2032 0.7581 0.7245  1 Cr 1.84, 1 Pt 2.04
O 0.2403 0.7954 0.2757  1 Cr 1.84, 1 Pt 2.03
O 0.2715 0.2691 0.4656  1 Cr 1.84, 1 Pt 1.95
O 0.3284 0.3268 0.0172  1 Cr 1.79
O 0.6716 0.6732 0.9828  1 Cr 1.79
O 0.7285 0.7309 0.5344  1 Cr 1.84, 1 Pt 1.95
O 0.7597 0.2046 0.7243  1 Cr 1.84, 1 Pt 2.03
O 0.7968 0.2419 0.2755  1 Cr 1.84, 1 Pt 2.04

- M_tot: 0.250 μB/atom
- Calculated total energy: -6.97 eV/atom

=====

No. 7
## PmPuCr2O8 (PBE with a Hubbard U)

Data for a geometry-optimized PmPuCr2O8 structure.

Cell lengths 6.7014, 6.7014, 6.7014 Å; angles 134.95, 134.95, 65.61 degrees
Last column: nearest neighbours and their distance in Å.
Element x y z (fractional)
Pm 0.0000 0.0000 0.0000  8 O 2.40-2.45
Pu 0.2500 0.7500 0.5000  8 O 2.31-2.36
Cr 0.5000 0.5000 0.0000  4 O 1.80
Cr 0.7500 0.2500 0.5000  4 O 1.80
O 0.2676 0.6714 0.1093  1 Cr 1.80
O 0.3286 0.4379 0.5962  1 Cr 1.80
O 0.4139 0.0088 0.0792  1 Cr 1.80
O 0.5621 0.1583 0.8907  1 Cr 1.80
O 0.6653 0.5861 0.5948  1 Cr 1.80
O 0.8417 0.7324 0.4038  1 Cr 1.80
O 0.9295 0.3347 0.9208  1 Cr 1.80
O 0.9912 0.0705 0.4052  1 Cr 1.80

- M_tot: 0.583 μB/atom
- Calculated total energy: -8.37 eV/atom

=====

No. 8
## PmPuCrO6 (PBE with a Hubbard U)

Data for a geometry-optimized PmPuCrO6 structure.

Cell lengths 5.6569, 5.6569, 8.6393 Å; angles 90.00, 90.00, 120.00 degrees
Last column: nearest neighbours and their distance in Å.
Element x y z (fractional)
Pm 0.3333 0.6667 0.2500  6 O 2.36
Pm 0.6667 0.3333 0.7500  6 O 2.36
Pu 0.3333 0.6667 0.7500  6 O 2.09
Pu 0.6667 0.3333 0.2500  6 O 2.09
Cr 0.0000 0.0000 0.0000  6 O 2.10
Cr 0.0000 0.0000 0.5000  6 O 2.10
O 0.0380 0.3393 0.6217  1 Pu 2.09, 1 Cr 2.10
O 0.0380 0.6986 0.8783  1 Pu 2.09, 1 Cr 2.10
O 0.3014 0.3393 0.8783  1 Pu 2.09, 1 Cr 2.10
O 0.3014 0.9620 0.6217  1 Pu 2.09, 1 Cr 2.10
O 0.3393 0.0380 0.1217  1 Pu 2.09, 1 Cr 2.10
O 0.3393 0.3014 0.3783  1 Pu 2.09, 1 Cr 2.10
O 0.6607 0.6986 0.6217  1 Pu 2.09, 1 Cr 2.10
O 0.6607 0.9620 0.8783  1 Pu 2.09, 1 Cr 2.10
O 0.6986 0.0380 0.3783  1 Pu 2.09, 1 Cr 2.10
O 0.6986 0.6607 0.1217  1 Pu 2.09, 1 Cr 2.10
O 0.9620 0.3014 0.1217  1 Pu 2.09, 1 Cr 2.10
O 0.9620 0.6607 0.3783  1 Pu 2.09, 1 Cr 2.10

- M_tot: 0.556 μB/atom
- Calculated total energy: -8.65 eV/atom

=====

No. 9
## RbPmCr2O8 (PBE with a Hubbard U)

Data for a geometry-optimized RbPmCr2O8 structure.

Cell lengths 5.8696, 5.8696, 8.1342 Å; angles 90.00, 90.00, 120.00 degrees
Last column: nearest neighbours and their distance in Å.
Element x y z (fractional)
Rb 0.0000 0.0000 0.0000  12 O 3.16-3.41
Pm 0.0000 0.0000 0.5000  6 O 2.33
Cr 0.3333 0.6667 0.7492  4 O 1.62-1.68
Cr 0.6667 0.3333 0.2508  4 O 1.62-1.68
O 0.1720 0.3547 0.6813  1 Cr 1.68
O 0.1827 0.8280 0.6813  1 Cr 1.68
O 0.3333 0.6667 0.9485  1 Cr 1.62
O 0.3547 0.1827 0.3187  1 Cr 1.68
O 0.6453 0.8173 0.6813  1 Cr 1.68
O 0.6667 0.3333 0.0515  1 Cr 1.62
O 0.8173 0.1720 0.3187  1 Cr 1.68
O 0.8280 0.6453 0.3187  1 Cr 1.68

- M_tot: 0.000 μB/atom
- Calculated total energy: -6.91 eV/atom

=====

No. 10
## Rb3Pm3CrO8 (PBE with a Hubbard U)

Data for a geometry-optimized Rb3Pm3CrO8 structure.

Cell lengths 6.9748, 6.9748, 7.7312 Å; angles 116.67, 116.67, 59.45 degrees
Last column: nearest neighbours and their distance in Å.
Element x y z (fractional)
Rb 0.0000 0.0000 0.0000  6 O 2.92-2.95
Rb 0.0000 0.5000 0.0000  6 O 2.91-2.95
Rb 0.5000 0.0000 0.0000  6 O 2.91-2.95
Pm 0.0000 0.5000 0.5000  6 O 2.33-2.43
Pm 0.5000 0.0000 0.5000  6 O 2.33-2.43
Pm 0.5000 0.5000 0.5000  6 O 2.33-2.40
Cr 0.0000 0.0000 0.5000  6 O 2.01-2.13
O 0.1961 0.7679 0.6603  1 Cr 2.01
O 0.2052 0.2052 0.6658  1 Cr 2.13, 2 Pm 2.38
O 0.2321 0.8039 0.3397  1 Cr 2.01
O 0.2751 0.2751 0.3207  3 Pm 2.33
O 0.7249 0.7249 0.6793  3 Pm 2.33
O 0.7679 0.1961 0.6603  1 Cr 2.01
O 0.7948 0.7948 0.3342  1 Cr 2.13, 2 Pm 2.38
O 0.8039 0.2321 0.3397  1 Cr 2.01

- M_tot: 0.130 μB/atom
- Calculated total energy: -6.64 eV/atom

=====

No. 11
## Rb2Pm2CrO6 (PBE with a Hubbard U)

Data for a geometry-optimized Rb2Pm2CrO6 structure.

Cell lengths 5.8768, 5.8768, 6.8766 Å; angles 97.19, 97.19, 119.48 degrees
Last column: nearest neighbours and their distance in Å.
Element x y z (fractional)
Rb 0.1620 0.8380 0.0000  4 O 2.84-2.89
Rb 0.8380 0.1620 0.0000  4 O 2.84-2.89
Pm 0.3342 0.6658 0.5000  6 O 2.34-2.40
Pm 0.6658 0.3342 0.5000  6 O 2.34-2.40
Cr 0.0000 0.0000 0.5000  6 O 1.96-2.05
O 0.0449 0.3426 0.6626  1 Cr 2.05
O 0.2285 0.2285 0.3374  1 Cr 1.96
O 0.3426 0.0449 0.6626  1 Cr 2.05
O 0.6574 0.9551 0.3374  1 Cr 2.05
O 0.7715 0.7715 0.6626  1 Cr 1.96
O 0.9551 0.6574 0.3374  1 Cr 2.05

- M_tot: 0.177 μB/atom
- Calculated total energy: -6.70 eV/atom

=====

No. 12
## RbPmCrO4 (PBE with a Hubbard U)

Data for a geometry-optimized RbPmCrO4 structure.

Cell lengths 5.9733, 5.9709, 7.7413 Å; angles 90.00, 107.75, 90.00 degrees
Last column: nearest neighbours and their distance in Å.
Element x y z (fractional)
Rb 0.1945 0.2500 0.4296  2 O 2.79-2.90
Rb 0.8055 0.7500 0.5704  2 O 2.79-2.90
Pm 0.2990 0.2500 0.9569  6 O 2.34-2.44
Pm 0.7010 0.7500 0.0431  6 O 2.34-2.44
Cr 0.2425 0.7500 0.1641  4 O 1.77-1.84
Cr 0.7575 0.2500 0.8359  4 O 1.77-1.84
O 0.0461 0.7500 0.9410  1 Cr 1.77
O 0.0520 0.7500 0.3008  1 Cr 1.78
O 0.4554 0.5235 0.1767  1 Cr 1.84
O 0.4554 0.9765 0.1767  1 Cr 1.84
O 0.5446 0.0235 0.8233  1 Cr 1.84
O 0.5446 0.4765 0.8233  1 Cr 1.84
O 0.9480 0.2500 0.6992  1 Cr 1.78
O 0.9539 0.2500 0.0590  1 Cr 1.77

- M_tot: 0.286 μB/atom
- Calculated total energy: -6.97 eV/atom